# 1
# Zr2ScHg4, optimized geometry, DFT PBE
# **Magnetization**: 0.00 μB per atom
# **Density of states at the Fermi level**: 15.13 states/eV per cell
# **Volume**: 23.33 A^3/atom
# **Raw total energy**: -50.71 eV per cell
data_Zr2ScHg4
_chemical_formula_sum 'Zr4 Sc2 Hg8'
_cell_length_a 4.7476
_cell_length_b 4.7476
_cell_length_c 14.4914
_cell_angle_alpha 90.00
_cell_angle_beta 90.00
_cell_angle_gamma 90.00
_space_group_name_H-M_alt 'I 4/m m m'
_space_group_IT_number 139
_space_group_name_Hall '-I 4 2'
loop_
_atom_site_label
_atom_site_type_symbol
_atom_site_fract_x
_atom_site_fract_y
_atom_site_fract_z
_atom_site_occupancy
Zr1 Zr 0.0000 0.0000 0.2482 1
Sc1 Sc 0.0000 0.0000 0.5000 1
Hg1 Hg 0.0000 0.5000 0.1128 1



# 2
# Zr2Sc3Hg2, optimized geometry, DFT PBE
# **Magnetization**: 0.05 μB per atom
# **Density of states at the Fermi level**: 14.08 states/eV per cell
# **Volume**: 22.62 A^3/atom
# **Raw total energy**: -75.21 eV per cell
data_Zr2Sc3Hg2
_chemical_formula_sum 'Zr4 Sc6 Hg4'
_cell_length_a 4.7778
_cell_length_b 21.2451
_cell_length_c 3.1195
_cell_angle_alpha 90.00
_cell_angle_beta 90.00
_cell_angle_gamma 90.00
_space_group_name_H-M_alt 'C m m m'
_space_group_IT_number 65
_space_group_name_Hall '-C 2 2'
loop_
_atom_site_label
_atom_site_type_symbol
_atom_site_fract_x
_atom_site_fract_y
_atom_site_fract_z
_atom_site_occupancy
Zr1 Zr 0.0000 0.2217 0.0000 1
Sc1 Sc 0.0000 0.3538 0.5000 1
Sc2 Sc 0.0000 0.5000 0.5000 1
Hg1 Hg 0.0000 0.0738 0.0000 1



# 3
# ZrSc4Hg5, optimized geometry, DFT PBE
# **Magnetization**: 0.03 μB per atom
# **Density of states at the Fermi level**: 11.39 states/eV per cell
# **Volume**: 21.81 A^3/atom
# **Raw total energy**: -39.06 eV per cell
data_ZrSc4Hg5
_chemical_formula_sum 'Zr1 Sc4 Hg5'
_cell_length_a 3.5207
_cell_length_b 3.5207
_cell_length_c 17.5936
_cell_angle_alpha 90.00
_cell_angle_beta 90.00
_cell_angle_gamma 90.00
_space_group_name_H-M_alt 'P 4/m m m'
_space_group_IT_number 123
_space_group_name_Hall '-P 4 2'
loop_
_atom_site_label
_atom_site_type_symbol
_atom_site_fract_x
_atom_site_fract_y
_atom_site_fract_z
_atom_site_occupancy
Zr1 Zr 0.0000 0.0000 0.0000 1
Sc1 Sc 0.0000 0.0000 0.1998 1
Sc2 Sc 0.0000 0.0000 0.3998 1
Hg1 Hg 0.5000 0.5000 0.1029 1
Hg2 Hg 0.5000 0.5000 0.2995 1
Hg3 Hg 0.5000 0.5000 0.5000 1



# 4
# Zr2ScHg, optimized geometry, DFT PBE
# **Magnetization**: 0.00 μB per atom
# **Density of states at the Fermi level**: 15.99 states/eV per cell
# **Volume**: 23.18 A^3/atom
# **Raw total energy**: -71.64 eV per cell
data_Zr2ScHg
_chemical_formula_sum 'Zr6 Sc3 Hg3'
_cell_length_a 3.2507
_cell_length_b 3.2507
_cell_length_c 30.3911
_cell_angle_alpha 90.00
_cell_angle_beta 90.00
_cell_angle_gamma 120.00
_space_group_name_H-M_alt 'R 3 m'
_space_group_IT_number 160
_space_group_name_Hall 'R 3 -2"'
loop_
_atom_site_label
_atom_site_type_symbol
_atom_site_fract_x
_atom_site_fract_y
_atom_site_fract_z
_atom_site_occupancy
Zr1 Zr 0.0000 0.0000 0.0000 1
Zr2 Zr 0.0000 0.0000 0.1670 1
Sc1 Sc 0.0000 0.0000 0.7504 1
Hg1 Hg 0.0000 0.0000 0.5835 1



# 5
# Zr2ScHg, optimized geometry, DFT PBE
# **Magnetization**: 0.00 μB per atom
# **Density of states at the Fermi level**: 22.76 states/eV per cell
# **Volume**: 23.84 A^3/atom
# **Raw total energy**: -91.01 eV per cell
data_Zr2ScHg
_chemical_formula_sum 'Zr8 Sc4 Hg4'
_cell_length_a 8.1399
_cell_length_b 8.1399
_cell_length_c 5.7570
_cell_angle_alpha 90.00
_cell_angle_beta 90.00
_cell_angle_gamma 90.00
_space_group_name_H-M_alt 'I -4 2 d'
_space_group_IT_number 122
_space_group_name_Hall 'I -4 2bw'
loop_
_atom_site_label
_atom_site_type_symbol
_atom_site_fract_x
_atom_site_fract_y
_atom_site_fract_z
_atom_site_occupancy
Zr1 Zr 0.2304 0.7500 0.1250 1
Sc1 Sc 0.0000 0.0000 0.5000 1
Hg1 Hg 0.0000 0.0000 0.0000 1



# 6
# Zr2ScHg, optimized geometry, DFT PBE
# **Magnetization**: 0.17 μB per atom
# **Density of states at the Fermi level**: 16.25 states/eV per cell
# **Volume**: 23.37 A^3/atom
# **Raw total energy**: -72.11 eV per cell
data_Zr2ScHg
_chemical_formula_sum 'Zr6 Sc3 Hg3'
_cell_length_a 3.2999
_cell_length_b 3.2999
_cell_length_c 29.7391
_cell_angle_alpha 90.00
_cell_angle_beta 90.00
_cell_angle_gamma 120.00
_space_group_name_H-M_alt 'R 3 m'
_space_group_IT_number 160
_space_group_name_Hall 'R 3 -2"'
loop_
_atom_site_label
_atom_site_type_symbol
_atom_site_fract_x
_atom_site_fract_y
_atom_site_fract_z
_atom_site_occupancy
Zr1 Zr 0.0000 0.0000 0.0000 1
Zr2 Zr 0.0000 0.0000 0.2508 1
Sc1 Sc 0.0000 0.0000 0.7544 1
Hg1 Hg 0.0000 0.0000 0.5013 1